The following is a GGA-PBE calculation of a relaxed structure of TaAlNO, from OQMD via LeMat-Bulk.

POSCAR file:
```
TaAlNO
1.0
5.389 0.000 0.000
0.000 6.777 0.000
0.000 0.000 5.070
Ta Al N O
4 4 4 4
direct
0.066 0.082 0.000
0.434 0.082 0.500
0.566 0.918 0.000
0.934 0.918 0.500
0.103 0.602 0.951
0.397 0.602 0.451
0.603 0.398 0.951
0.897 0.398 0.451
0.071 0.620 0.581
0.429 0.620 0.081
0.571 0.380 0.581
0.929 0.380 0.081
0.080 0.204 0.603
0.420 0.204 0.103
0.580 0.796 0.603
0.920 0.796 0.103
```

Values from the calculation:
The calculation puts the energy above the most stable polymorph in this dataset at 0.0 meV/atom. As for the symmetry: No. 29.